# Na2SnBr2Cl2 | the Alexandria database | PBE | relaxed
# Density = 3.033 Mg/m³
# N(E_F) = 0.00 states/eV per atom
# Calculated total energy = -3.278 eV/atom
# E_form (uncorrected) = -1323.8 meV/atom
data_Na2SnBr2Cl2
_chemical_formula_sum 'Na2 Sn1 Br2 Cl2'
_space_group_name_H-M_alt 'P -1'
_space_group_IT_number 2
_space_group_name_Hall '-P 1'
_cell_length_a 4.340
_cell_length_b 7.329
_cell_length_c 7.979
_cell_angle_alpha 116.46
_cell_angle_beta 105.70
_cell_angle_gamma 90.22
loop_
_atom_site_label
_atom_site_type_symbol
_atom_site_fract_x
_atom_site_fract_y
_atom_site_fract_z
Na1 Na 0.216 0.174 0.423
Sn1 Sn 0.500 0.500 0.000
Br1 Br 0.135 0.481 0.270
Cl1 Cl 0.367 0.074 0.739